[1]
A plane-wave DFT calculation with PBE was carried out for an optimized crystal structure of Pr2Dy6Er3Tl.

Unit cell a=6.099 b=6.099 c=11.746 alpha=94.99 beta=94.99 gamma=120.04
Sites, in units of the cell vectors:
Pr 0.166 0.834 0.000
Pr 0.834 0.166 0.000
Dy 0.089 0.416 0.748
Dy 0.256 0.256 0.253
Dy 0.416 0.089 0.748
Dy 0.584 0.911 0.252
Dy 0.744 0.744 0.747
Dy 0.911 0.584 0.252
Er 0.000 0.000 0.500
Er 0.333 0.667 0.500
Er 0.667 0.333 0.500
Tl 0.500 0.500 0.000

Its total magnetic moment is 0.00 μB/f.u. The calculation puts the final energy at -4.465 eV/atom. The calculation puts the energy relative to the elements at -0.030 eV per atom.

***

[2]
A plane-wave DFT calculation with PBE was carried out for an optimized crystal structure of CaMnAs2Pd.

Unit cell a=6.282 b=6.282 c=6.282 alpha=141.25 beta=141.25 gamma=55.96
Sites, in units of the cell vectors:
Ca 0.000 0.000 0.000
Mn 0.250 0.750 0.500
As 0.379 0.379 0.000
As 0.621 0.621 0.000
Pd 0.750 0.250 0.500

Its total magnetic moment is 3.53 μB/f.u. The calculation puts the final energy at -5.761 eV/atom. The calculation puts the energy relative to the elements at -0.628 eV per atom.

***

[3]
A plane-wave DFT calculation with PBE was carried out for an optimized crystal structure of Tc3MoOs.

Unit cell a=4.552 b=4.552 c=4.552 alpha=90.00 beta=90.00 gamma=90.00
Sites, in units of the cell vectors:
Tc 0.000 0.000 0.500
Tc 0.000 0.500 0.000
Tc 0.500 0.000 0.000
Mo 0.000 0.000 0.000
Os 0.500 0.500 0.500

The distance to the lowest polymorph of the same formula comes out at 150 meV/atom. Its total magnetic moment is 0.00 μB/f.u. The calculation puts the final energy at -8.509 eV/atom. The calculation puts the energy relative to the elements at 2.123 eV per atom.

***

- The highest total magnetic moment belongs to which entry?
  CaMnAs2Pd

***

Please write out number 3 again, unchanged.
A plane-wave DFT calculation with PBE was carried out for an optimized crystal structure of Tc3MoOs.

Unit cell a=4.552 b=4.552 c=4.552 alpha=90.00 beta=90.00 gamma=90.00
Sites, in units of the cell vectors:
Tc 0.000 0.000 0.500
Tc 0.000 0.500 0.000
Tc 0.500 0.000 0.000
Mo 0.000 0.000 0.000
Os 0.500 0.500 0.500

The distance to the lowest polymorph of the same formula comes out at 150 meV/atom. Its total magnetic moment is 0.00 μB/f.u. The calculation puts the final energy at -8.509 eV/atom. The calculation puts the energy relative to the elements at 2.123 eV per atom.

***

Please write out number 1 again, unchanged.
A plane-wave DFT calculation with PBE was carried out for an optimized crystal structure of Pr2Dy6Er3Tl.

Unit cell a=6.099 b=6.099 c=11.746 alpha=94.99 beta=94.99 gamma=120.04
Sites, in units of the cell vectors:
Pr 0.166 0.834 0.000
Pr 0.834 0.166 0.000
Dy 0.089 0.416 0.748
Dy 0.256 0.256 0.253
Dy 0.416 0.089 0.748
Dy 0.584 0.911 0.252
Dy 0.744 0.744 0.747
Dy 0.911 0.584 0.252
Er 0.000 0.000 0.500
Er 0.333 0.667 0.500
Er 0.667 0.333 0.500
Tl 0.500 0.500 0.000

Its total magnetic moment is 0.00 μB/f.u. The calculation puts the final energy at -4.465 eV/atom. The calculation puts the energy relative to the elements at -0.030 eV per atom.

***

- Which of these has the highest final energy?
  Pr2Dy6Er3Tl